Record 1
First-principles (GGA-PBEsol) data for an optimized crystal structure of TaSbRh2, as listed in Alexandria.

a b c (Å): 3.393 3.393 5.732
angles (deg): 90.00 90.00 90.00
Atoms (fractional coordinates):
1 Ta 0.000 0.000 0.000
2 Sb 0.000 0.000 0.500
3 Rh 0.500 0.500 0.232
4 Rh 0.500 0.500 0.768

The uncorrected energy comes out at -8.7071 eV/atom. The value obtained for the density of states at the Fermi level is 2.26 states/eV per cell. The magnetization is 0.000 Bohr magnetons per cell. For the energy relative to the elements, uncorrected, the calculation gives -0.361 eV/atom. Its space group is P4/mmm (123). The volume is 16.50 A^3/atom.



Record 2
First-principles (GGA-PBEsol) data for an optimized crystal structure of KAg2Sb2, as listed in Alexandria.

a b c (Å): 6.698 6.698 6.698
angles (deg): 138.66 138.66 59.89
Atoms (fractional coordinates):
1 K 0.000 0.000 0.000
2 Ag 0.250 0.750 0.500
3 Ag 0.750 0.250 0.500
4 Sb 0.377 0.377 0.000
5 Sb 0.623 0.623 0.000

The uncorrected energy comes out at -3.5655 eV/atom. The value obtained for the density of states at the Fermi level is 1.33 states/eV per cell. The magnetization is 0.000 Bohr magnetons per cell. For the energy relative to the elements, uncorrected, the calculation gives -0.191 eV/atom. Its space group is I4/mmm (139). The volume is 25.95 A^3/atom.



Record 3
First-principles (GGA-PBEsol) data for an optimized crystal structure of Mn2MoPt, as listed in Alexandria.

a b c (Å): 5.007 5.007 2.633
angles (deg): 102.63 102.63 115.05
Atoms (fractional coordinates):
1 Mn 0.000 0.500 0.000
2 Mn 0.500 0.000 0.000
3 Mo 0.000 0.000 0.500
4 Pt 0.500 0.500 0.500

The uncorrected energy comes out at -9.4378 eV/atom. The value obtained for the density of states at the Fermi level is 3.76 states/eV per cell. The magnetization is 4.992 Bohr magnetons per cell. The value obtained for the formation energy is 12 kJ per mole of atoms. Its space group is C2/m (12). The volume is 13.66 A^3/atom.



Record 4
First-principles (GGA-PBEsol) data for an optimized crystal structure of ZrAlRe, as listed in Alexandria.

a b c (Å): 2.875 2.875 7.057
angles (deg): 90.00 90.00 120.00
Atoms (fractional coordinates):
1 Zr 0.000 0.000 0.000
2 Al 0.333 0.667 0.641
3 Re 0.667 0.333 0.348

The uncorrected energy comes out at -8.7481 eV/atom. The value obtained for the density of states at the Fermi level is 2.78 states/eV per cell. The magnetization is 0.000 Bohr magnetons per cell. The value obtained for the formation energy is 9 kJ per mole of atoms. Its space group is P3m1 (156). Its offset from the most stable computed form is 178 meV per atom. The volume is 16.84 A^3/atom.



Record 5
First-principles (GGA-PBEsol) data for an optimized crystal structure of GaNi4Ge3, as listed in Alexandria.

a b c (Å): 3.781 11.296 4.896
angles (deg): 90.00 90.00 90.00
Atoms (fractional coordinates):
1 Ga 0.000 0.186 0.000
2 Ga 0.000 0.814 0.500
3 Ni 0.000 0.004 0.263
4 Ni 0.000 0.204 0.502
5 Ni 0.000 0.796 0.002
6 Ni 0.000 0.996 0.763
7 Ni 0.500 0.299 0.775
8 Ni 0.500 0.495 0.023
9 Ni 0.500 0.505 0.523
10 Ni 0.500 0.701 0.275
11 Ge 0.000 0.427 0.755
12 Ge 0.000 0.573 0.255
13 Ge 0.500 0.072 0.530
14 Ge 0.500 0.312 0.282
15 Ge 0.500 0.688 0.782
16 Ge 0.500 0.928 0.030

The uncorrected energy comes out at -5.7200 eV/atom. The value obtained for the density of states at the Fermi level is 7.05 states/eV per cell. The magnetization is 0.001 Bohr magnetons per cell. The value obtained for the formation energy is -36 kJ per mole of atoms. Its space group is Pmc2_1 (26). Its offset from the most stable computed form is 0 meV per atom. The volume is 13.07 A^3/atom.



Record 6
First-principles (GGA-PBEsol) data for an optimized crystal structure of Ba6Na2Nb2V2O17, as listed in Alexandria.

a b c (Å): 5.893 5.893 30.110
angles (deg): 90.00 90.00 120.00
Atoms (fractional coordinates):
1 Ba 0.000 0.000 0.000
2 Ba 0.000 0.000 0.250
3 Ba 0.000 0.000 0.500
4 Ba 0.000 0.000 0.750
5 Ba 0.333 0.667 0.090
6 Ba 0.333 0.667 0.410
7 Ba 0.333 0.667 0.681
8 Ba 0.333 0.667 0.819
9 Ba 0.667 0.333 0.181
10 Ba 0.667 0.333 0.319
11 Ba 0.667 0.333 0.590
12 Ba 0.667 0.333 0.910
13 Na 0.000 0.000 0.123
14 Na 0.000 0.000 0.377
15 Na 0.000 0.000 0.623
16 Na 0.000 0.000 0.877
17 Nb 0.333 0.667 0.201
18 Nb 0.333 0.667 0.299
19 Nb 0.667 0.333 0.701
20 Nb 0.667 0.333 0.799
21 V 0.333 0.667 0.552
22 V 0.333 0.667 0.948
23 V 0.667 0.333 0.052
24 V 0.667 0.333 0.448
25 O 0.025 0.512 0.250
26 O 0.173 0.346 0.169
27 O 0.173 0.346 0.331
28 O 0.173 0.827 0.169
29 O 0.173 0.827 0.331
30 O 0.175 0.351 0.571
31 O 0.175 0.351 0.929
32 O 0.175 0.825 0.571
33 O 0.175 0.825 0.929
34 O 0.333 0.667 0.005
35 O 0.333 0.667 0.495
36 O 0.346 0.173 0.669
37 O 0.346 0.173 0.831
38 O 0.351 0.175 0.071
39 O 0.351 0.175 0.429
40 O 0.488 0.512 0.250
41 O 0.488 0.975 0.250
42 O 0.512 0.025 0.750
43 O 0.512 0.488 0.750
44 O 0.649 0.825 0.571
45 O 0.649 0.825 0.929
46 O 0.654 0.827 0.169
47 O 0.654 0.827 0.331
48 O 0.667 0.333 0.505
49 O 0.667 0.333 0.995
50 O 0.825 0.175 0.071
51 O 0.825 0.175 0.429
52 O 0.825 0.649 0.071
53 O 0.825 0.649 0.429
54 O 0.827 0.173 0.669
55 O 0.827 0.173 0.831
56 O 0.827 0.654 0.669
57 O 0.827 0.654 0.831
58 O 0.975 0.488 0.750

The uncorrected energy comes out at -7.7581 eV/atom. The value obtained for the density of states at the Fermi level is 0.00 states/eV per cell. The magnetization is 0.000 Bohr magnetons per cell. For the energy relative to the elements, uncorrected, the calculation gives -2.729 eV/atom. Its space group is P6_3/mmc (194). Its offset from the most stable computed form is 18 meV per atom. The volume is 15.61 A^3/atom.



Look up the uncorrected energy of the third one.
-9.4378 eV/atom